Record 1
10
Lattice="-3.512 -4.576 1.618 4.461 -0.795 7.410 -1.340 0.148 8.575" Properties=species:S:1:pos:R:3 comment="PBE-GGA Ac2HfMgPd6, relaxed" ef_ev_per_fu=-5.20 pbc="T T T"
Ac 1.920 -1.574 10.760
Ac -2.311 -3.649 6.843
Hf 0.474 -2.685 4.514
Mg 0.000 0.000 0.000
Pd 1.148 -1.591 14.449
Pd -0.660 -3.947 15.275
Pd -0.497 -1.254 6.467
Pd -1.540 -3.632 3.154
Pd 0.268 -1.276 2.329
Pd 0.105 -3.969 11.137



Record 2
6
Lattice="6.531 0.018 -0.029 -0.026 5.012 -0.008 3.702 -2.648 5.177" Properties=species:S:1:pos:R:3 comment="PBE-GGA NaCaNb, relaxed" polymorph_energy_mev_per_atom=481 ef_ev_per_fu=2.00 pbc="T T T"
Na 6.720 -0.674 2.052
Na 3.454 -0.683 2.066
Ca 2.063 1.848 0.650
Ca 4.819 1.796 3.472
Nb 8.883 -0.942 4.881
Nb 8.231 1.952 4.389



Record 3
4
Lattice="0.000 3.391 3.391 3.391 0.000 3.391 3.391 3.391 0.000" Properties=species:S:1:pos:R:3 comment="PBE-GGA RhPb2F, relaxed" polymorph_energy_mev_per_atom=0 e_form_raw_ev_per_atom=-0.587 pbc="T T T"
Pb 1.695 1.695 1.695
Pb 5.086 5.086 5.086
Rh 3.391 3.391 3.391
F 0.000 0.000 0.000



Record 4
3
Lattice="-3.616 -0.502 -0.536 1.405 -0.196 3.407 -1.415 9.022 1.102" Properties=species:S:1:pos:R:3 comment="PBE-GGA CaTbPr, relaxed" polymorph_energy_mev_per_atom=17 ef_ev_per_fu=0.14 pbc="T T T"
Pr -1.191 5.580 2.811
Ca -0.006 0.039 0.005
Tb -2.430 2.705 1.157



Record 5
11
Lattice="-0.406 -5.281 2.387 1.972 -4.648 -2.877 5.362 -1.035 3.376" Properties=species:S:1:pos:R:3 comment="PBE-GGA Li2Mn3S6, relaxed" e_form_raw_ev_per_atom=-0.769 pbc="T T T"
Li 3.936 -4.503 0.154
Li 2.993 -6.461 2.732
Mn 0.000 0.000 0.000
Mn 0.525 -3.312 -0.169
Mn 1.042 -6.617 -0.321
S 5.360 -6.046 1.707
S 3.902 -4.724 4.415
S 4.845 -2.742 1.857
S 1.054 -1.592 1.349
S 1.569 -4.918 1.180
S 2.084 -8.222 1.029



Record 6
8
Lattice="-2.615 2.398 -1.073 -1.515 -2.614 -2.148 -9.914 -4.975 13.050" Properties=species:S:1:pos:R:3 comment="PBE-GGA Pr4In3Hg, relaxed" ef_ev_per_fu=-3.89 pbc="T T T"
Pr -8.692 -4.362 11.441
Pr -1.222 -0.613 1.609
Pr -3.714 -1.864 4.889
Pr -6.200 -3.111 8.161
Hg -2.065 -0.108 -1.610
In -4.519 -1.339 1.620
In -7.022 -2.595 4.915
In -9.526 -3.852 8.209



Record 7
4
Lattice="5.143 -0.004 0.002 2.340 4.580 -0.002 -3.247 -3.098 2.514" Properties=species:S:1:pos:R:3 comment="PBE-GGA InCoRu2, relaxed" ef_ev_per_fu=1.28 pbc="T T T"
Co 3.777 2.310 0.000
In 1.481 1.924 1.256
Ru 7.441 4.551 0.000
Ru 2.762 -0.441 1.258



Record 8
14
Lattice="6.443 0.000 0.000 -3.222 5.801 -0.525 0.000 -3.598 5.916" Properties=species:S:1:pos:R:3 comment="PBE-GGA ZnHgBiO4, relaxed" e_form_raw_ev_per_atom=-0.857 pbc="T T T"
Zn 1.611 1.102 2.696
Zn -1.611 1.102 2.696
Hg 3.222 3.670 0.206
Hg 0.000 -1.467 5.186
Bi 3.222 -1.799 2.958
Bi 3.222 0.000 0.000
O 3.222 0.258 3.855
O 1.769 -0.813 1.531
O 4.675 -0.813 1.531
O 3.222 1.743 1.414
O 0.000 0.460 3.978
O 1.453 3.017 3.860
O -1.453 3.017 3.860
O 0.000 1.945 1.537



Record 9
5
Lattice="-4.265 0.380 -1.208 0.364 -3.697 -2.449 -1.708 -3.445 4.947" Properties=species:S:1:pos:R:3 comment="PBE-GGA SrP2SCl, relaxed" polymorph_energy_mev_per_atom=0 e_form_raw_ev_per_atom=-0.282 pbc="T T T"
Sr -2.805 -3.381 0.645
S 0.000 0.000 0.000
P 0.182 -1.849 -1.225
P -2.133 0.190 -0.604
Cl -0.854 -1.723 2.473



Record 10
12
Lattice="4.542 0.000 0.000 2.271 3.934 0.000 2.271 1.311 5.695" Properties=species:S:1:pos:R:3 comment="PBE-GGA SrMnNi2H8, relaxed" e_tot_ev_per_cell=-50.7 pbc="T T T"
Sr 4.542 2.623 2.848
Mn 0.000 0.000 0.000
Ni 2.271 1.311 0.571
Ni 6.814 3.934 5.125
H 2.271 1.311 2.166
H 3.923 1.407 0.761
H 6.814 3.934 3.529
H 5.905 2.693 0.761
H 3.180 2.552 4.934
H 3.800 3.767 0.761
H 5.285 1.478 4.934
H 5.162 3.838 4.934



Record 11
4
Lattice="-3.461 0.296 -3.720 3.543 -3.620 -0.492 -1.676 0.895 4.722" Properties=species:S:1:pos:R:3 comment="PBE-GGA Re3Br, relaxed" polymorph_energy_mev_per_atom=524 e_form_raw_ev_per_atom=1.303 pbc="T T T"
Re -2.568 0.595 0.501
Re 0.041 -1.662 -2.106
Re 0.934 -1.363 2.115
Br 0.000 0.000 0.000



Record 12
10
Lattice="3.446 0.000 -1.123 -0.050 4.629 -0.153 0.023 -0.027 5.927" Properties=species:S:1:pos:R:3 comment="PBE-GGA YNiH3, relaxed" e_tot_ev_per_cell=-49.7 pbc="T T T"
Y 0.662 4.483 4.113
Y 3.201 2.156 0.205
Ni 2.210 1.990 3.015
Ni 1.616 4.531 1.196
H 2.620 1.016 4.271
H 2.015 3.500 2.418
H 1.256 3.364 0.086
H 3.371 4.541 0.728
H 1.299 1.026 0.217
H 0.490 2.084 3.584